# 1
Na3Ag3F8 PBE-GGA optimized geometry; SG = No. 166; M_tot = 0.15 μB/atom; crystal system = trigonal; ΔE_f (raw) = -1.78 eV per atom; raw total energy = -3.74 eV per atom
1.0
5.908 0.038 3.454
2.000 5.559 3.454
0.054 0.038 6.843
Na Ag F
3 3 8
direct
0.000 0.000 0.500
0.000 0.500 0.000
0.500 0.000 0.000
0.635 0.635 0.635
0.000 0.000 0.000
0.365 0.365 0.365
0.767 0.767 0.767
0.770 0.770 0.221
0.770 0.221 0.770
0.221 0.770 0.770
0.230 0.779 0.230
0.779 0.230 0.230
0.230 0.230 0.779
0.233 0.233 0.233

---

# 2
NaAg4F8 PBE-GGA optimized geometry; SG = No. 166; M_tot = 0.24 μB/atom; crystal system = trigonal; ΔE_f (raw) = -1.29 eV per atom; raw total energy = -3.42 eV per atom
1.0
7.144 0.000 0.000
3.572 6.187 0.000
3.572 2.062 5.217
F Na Ag
8 1 4
direct
0.729 0.729 0.812
0.271 0.271 0.188
0.748 0.748 0.209
0.748 0.294 0.209
0.706 0.252 0.791
0.294 0.748 0.209
0.252 0.706 0.791
0.252 0.252 0.791
0.500 0.500 0.500
0.500 0.000 0.000
0.000 0.500 0.000
0.500 0.500 0.000
0.000 0.000 0.000

---

# 3
Na2AgF PBE-GGA optimized geometry; SG = No. 166; M_tot = 0.00 μB/atom; crystal system = trigonal; ΔE_f (raw) = -1.29 eV per atom; raw total energy = -3.13 eV per atom
1.0
-2.497 -1.516 1.246
-0.095 -3.174 -0.005
2.781 -1.683 7.575
Na Ag F
2 1 1
direct
0.726 0.726 0.823
0.274 0.274 0.177
0.500 0.500 0.500
0.000 0.000 0.000

---

# 4
Na2AgF PBE-GGA optimized geometry; SG = No. 122; M_tot = 0.00 μB/atom; crystal system = tetragonal; ΔE_f (raw) = -1.18 eV per atom; raw total energy = -3.02 eV per atom
1.0
-1.050 6.043 -2.788
-5.615 -2.320 -2.913
-5.493 2.992 0.414
Na Ag F
4 2 2
direct
0.520 0.125 0.250
0.230 0.625 0.250
0.375 0.480 0.750
0.875 0.770 0.750
0.000 0.000 0.000
0.750 0.250 0.500
0.250 0.750 0.500
0.500 0.500 0.000

---

# 5
NaAg4F7 PBE-GGA optimized geometry; SG = No. 1; M_tot = 0.01 μB/atom; crystal system = triclinic; ΔE_f (raw) = -1.37 eV per atom; raw total energy = -3.52 eV per atom
1.0
3.443 -0.288 0.137
-2.239 5.743 -1.597
0.427 -0.270 9.777
F Ag Na
7 4 1
direct
0.486 0.707 0.922
0.075 0.494 0.623
0.199 0.084 0.786
0.603 0.471 0.362
0.960 0.957 0.208
0.734 0.332 0.053
0.449 0.924 0.473
0.093 0.014 0.997
0.871 0.402 0.830
0.213 0.639 0.235
0.014 0.212 0.421
0.803 0.765 0.591

---

# 6
Na5Ag2F12 PBE-GGA optimized geometry; SG = No. 12; M_tot = 0.05 μB/atom; crystal system = monoclinic; ΔE_f (raw) = -1.84 eV per atom; raw total energy = -3.67 eV per atom
1.0
-3.003 5.777 -1.354
1.186 -4.446 -5.267
-6.133 -2.319 3.708
F Na Ag
12 5 2
direct
0.492 0.984 0.182
0.914 0.339 0.126
0.602 0.703 0.437
0.508 0.016 0.818
0.985 0.971 0.178
0.015 0.029 0.822
0.086 0.661 0.874
0.899 0.297 0.563
0.575 0.661 0.874
0.398 0.297 0.563
0.101 0.703 0.437
0.425 0.339 0.126
0.685 0.371 0.780
0.290 0.580 0.610
0.000 0.000 0.500
0.710 0.420 0.390
0.315 0.629 0.220
0.752 0.000 0.000
0.248 0.000 0.000

---

# 7
Na2Ag5F12 PBE-GGA optimized geometry; SG = No. 12; M_tot = 0.05 μB/atom; crystal system = monoclinic; ΔE_f (raw) = -1.44 eV per atom; raw total energy = -3.51 eV per atom
1.0
-4.173 -4.826 -0.403
2.557 2.501 -5.717
5.635 -5.100 2.718
Ag F Na
5 12 2
direct
0.000 0.000 0.500
0.741 0.483 0.963
0.662 0.323 0.358
0.338 0.677 0.642
0.259 0.517 0.037
0.110 0.756 0.509
0.086 0.172 0.881
0.084 0.616 0.824
0.354 0.244 0.491
0.890 0.244 0.491
0.646 0.756 0.509
0.561 0.121 0.842
0.916 0.384 0.176
0.468 0.384 0.176
0.532 0.616 0.824
0.914 0.828 0.119
0.439 0.879 0.158
0.247 0.000 0.000
0.753 0.000 0.000

---

# 8
NaAg2F3 PBE-GGA optimized geometry; SG = No. 59; M_tot = 0.00 μB/atom; crystal system = orthorhombic; ΔE_f (raw) = -1.55 eV per atom; raw total energy = -3.66 eV per atom
1.0
-1.969 2.509 1.012
-0.339 -2.020 4.347
8.771 5.565 3.269
F Ag Na
6 4 2
direct
0.000 0.812 0.000
0.500 0.314 0.147
0.000 0.686 0.353
0.000 0.686 0.647
0.500 0.188 0.500
0.500 0.314 0.853
0.000 0.190 0.326
0.500 0.810 0.174
0.000 0.190 0.674
0.500 0.810 0.826
0.000 0.312 0.000
0.500 0.688 0.500

---

# 9
NaAg4F12 PBE-GGA optimized geometry; SG = No. 204; M_tot = 0.00 μB/atom; crystal system = cubic; ΔE_f (raw) = -1.26 eV per atom; raw total energy = -3.33 eV per atom
1.0
7.223 0.000 0.000
-2.408 6.810 0.000
-2.408 -3.405 5.897
Ag F Na
4 12 1
direct
0.500 0.500 0.500
0.000 0.000 0.500
0.500 0.000 0.000
0.000 0.500 0.000
0.527 0.778 0.749
0.222 0.251 0.473
0.251 0.029 0.778
0.749 0.971 0.222
0.473 0.222 0.251
0.749 0.527 0.778
0.778 0.251 0.029
0.251 0.473 0.222
0.222 0.749 0.971
0.029 0.778 0.251
0.778 0.749 0.527
0.971 0.222 0.749
0.000 0.000 0.000

---

# 10
NaAgF6 PBE-GGA optimized geometry; SG = No. 163; M_tot = 0.00 μB/atom; crystal system = trigonal; ΔE_f (raw) = -1.25 eV per atom; raw total energy = -3.18 eV per atom
1.0
5.237 0.000 0.000
-2.619 4.536 0.000
0.000 0.000 10.023
F Ag Na
12 2 2
direct
0.287 0.974 0.613
0.687 0.974 0.887
0.713 0.687 0.113
0.313 0.287 0.387
0.026 0.713 0.887
0.687 0.713 0.613
0.026 0.313 0.613
0.974 0.687 0.387
0.313 0.026 0.113
0.974 0.287 0.113
0.713 0.026 0.387
0.287 0.313 0.887
0.000 0.000 0.000
0.000 0.000 0.500
0.333 0.667 0.250
0.667 0.333 0.750

---

# 11
Na2AgF5 PBE-GGA optimized geometry; SG = No. 123; M_tot = 0.13 μB/atom; crystal system = tetragonal; ΔE_f (raw) = -1.75 eV per atom; raw total energy = -3.60 eV per atom
1.0
-0.923 4.026 0.130
-5.597 -1.281 -0.070
-0.028 -0.192 5.739
F Na Ag
5 2 1
direct
0.000 0.254 0.254
0.000 0.746 0.254
0.000 0.746 0.746
0.000 0.254 0.746
0.500 0.000 0.000
0.500 0.500 0.000
0.500 0.000 0.500
0.000 0.000 0.000

---

# 12
Na4AgF5 PBE-GGA optimized geometry; SG = No. 71; M_tot = 0.00 μB/atom; crystal system = orthorhombic; ΔE_f (raw) = -2.37 eV per atom; raw total energy = -4.12 eV per atom
1.0
-1.943 -2.712 0.225
-0.453 -0.070 -4.749
8.098 -3.600 1.678
F Na Ag
5 4 1
direct
0.000 0.500 0.000
0.801 0.301 0.602
0.611 0.111 0.222
0.199 0.699 0.398
0.389 0.889 0.778
0.204 0.204 0.408
0.796 0.796 0.592
0.397 0.397 0.795
0.603 0.603 0.205
0.000 0.000 0.000

---

# 13
NaAg2F PBE-GGA optimized geometry; SG = No. 122; M_tot = 0.00 μB/atom; crystal system = tetragonal; ΔE_f (raw) = -0.66 eV per atom; raw total energy = -2.89 eV per atom
1.0
8.815 0.000 0.000
0.000 8.815 0.000
4.408 4.408 2.169
F Ag Na
2 4 2
direct
0.500 0.500 0.000
0.250 0.750 0.500
0.217 0.625 0.250
0.375 0.467 0.750
0.533 0.125 0.250
0.875 0.783 0.750
0.750 0.250 0.500
0.000 0.000 0.000

---

# 14
NaNbAgF6 PBE-GGA optimized geometry; SG = No. 163; M_tot = 0.11 μB/atom; crystal system = trigonal; ΔE_f (raw) = -2.48 eV per atom; raw total energy = -5.31 eV per atom
1.0
-1.335 -5.012 2.910
5.534 0.904 -1.982
2.254 4.155 8.189
F Ag Na Nb
12 2 2 2
direct
0.039 0.380 0.640
0.659 0.620 0.140
0.961 0.341 0.140
0.620 0.961 0.860
0.380 0.039 0.140
0.341 0.380 0.860
0.039 0.659 0.860
0.380 0.341 0.360
0.659 0.039 0.360
0.620 0.659 0.640
0.341 0.961 0.640
0.961 0.620 0.360
0.000 0.000 0.000
0.000 0.000 0.500
0.333 0.667 0.250
0.667 0.333 0.750
0.667 0.333 0.250
0.333 0.667 0.750

---

# 15
NaNdAg2F6 PBE-GGA optimized geometry; SG = No. 1; M_tot = 0.00 μB/atom; crystal system = triclinic; ΔE_f (raw) = -2.52 eV per atom; raw total energy = -4.82 eV per atom
1.0
-2.437 -5.579 -0.646
1.993 3.054 -4.908
5.691 0.571 2.667
F Nd Ag Na
6 1 2 1
direct
0.843 0.712 0.202
0.091 0.222 0.699
0.505 0.130 0.201
0.086 0.373 0.203
0.841 0.620 0.696
0.491 0.870 0.697
0.000 0.500 0.486
0.559 0.279 0.824
0.550 0.774 0.311
0.999 0.999 0.984